Computed, not measured: a relaxed Mg4Cd3Au4 crystal at the PBE level of DFT.

For the density, the calculation gives 9.0 Mg/m³. The total DFT energy (no corrections) is -2.356 eV/atom. The calculation puts the formation energy at -355.2 kJ/mol of formula units.

Cell lengths 3.369, 8.249, 16.279 Å; angles 90.00, 90.00, 90.00 degrees
Space group Immm (No. 71)
Asymmetric unit:
Mg1 0.000 0.195 0.164 x8
Cd1 0.000 0.000 0.401 x4
Cd2 0.000 0.500 0.500 x2
Au1 0.000 0.281 0.000 x4
Au2 0.000 0.500 0.247 x4